Compound: ZrPaAgO6
Source: Alexandria
Functional: PBE-GGA
Structure: relaxed

Results
**E_form (uncorrected)**: -2.3520 eV/atom
**Symmetry**: P312, No. 149
**DFT total energy**: -7.979 eV per atom

a = 5.425 Å, b = 5.425 Å, c = 4.949 Å
α = 90.00°, β = 90.00°, γ = 120.00°
Positions (direct):
1 Zr 0.000 0.000 0.000
2 Pa 0.333 0.667 0.500
3 Ag 0.667 0.333 0.000
4 O 0.012 0.330 0.242
5 O 0.012 0.682 0.758
6 O 0.318 0.330 0.758
7 O 0.318 0.988 0.242
8 O 0.670 0.682 0.242
9 O 0.670 0.988 0.758